A plane-wave DFT calculation with PBE-GGA was carried out for crystalline AcTb4PrNd2 at its relaxed geometry.

abc: 13.9262 13.5388 6.9747
angles: 90.00 120.05 90.00
Last column: nearest neighbours and their distance in Å.
Space group C2/c (No. 15)
Symmetry-distinct sites (fractional):
Ac 0.2500 0.2500 0.0000 x4  2 Nd 3.49, 6 Tb 3.49-3.53
Tb 0.0000 0.2490 0.0133 x8  2 Tb 3.30-3.67, 3 Nd 3.37-3.44, 1 Pr 3.40, 2 Ac 3.53
Tb 0.2487 0.0077 0.4973 x8  3 Nd 3.28-3.47, 1 Ac 3.49, 2 Pr 3.49-3.50, 2 Tb 3.49
Pr 0.0000 0.5000 0.0000 x4  6 Tb 3.40-3.50, 2 Pr 3.49
Nd 0.0000 0.0000 0.0000 x4  6 Tb 3.37-3.47, 2 Nd 3.49
Nd 0.2500 0.2500 0.5000 x4  6 Tb 3.28-3.44, 2 Ac 3.49

Results
Its total energy is -4.213 eV per atom. The calculation puts the size of the total moment at 0.0 μB/f.u.